Compound: Sm2InBr5
Source: OQMD
Functional: PBE-GGA
Structure: optimized geometry

```
Sm2InBr5
1.0
-4.0650 4.0650 7.2774
4.0650 -4.0650 7.2774
4.0650 4.0650 -7.2774
Sm In Br
4 2 10
Cartesian
5.2472 1.1822 0.0000 Sm
1.1822 2.8827 0.0000 Sm
2.8827 1.1822 7.2774 Sm
-1.1822 2.8827 7.2774 Sm
0.0000 0.0000 3.6387 In
0.0000 0.0000 10.9161 In
0.0000 0.0000 0.0000 Br
2.8512 1.2137 -1.9357 Br
2.8512 -1.2137 5.3417 Br
2.8512 1.2137 1.9357 Br
2.8512 -1.2137 9.2131 Br
0.0000 0.0000 7.2774 Br
1.2137 5.2787 -1.9357 Br
1.2137 2.8512 5.3417 Br
1.2137 5.2787 1.9357 Br
1.2137 2.8512 9.2131 Br
```

Computed properties:
SG	I4/mcm, No. 140
calculated volume	481.00	Å³ per cell
total magnetization	0.00	μB per cell


Compound: Sm5In3Br
Source: OQMD
Functional: PBE-GGA
Structure: optimized geometry

```
Sm5In3Br
1.0
9.4389 0.0000 0.0000
-4.7194 8.1743 0.0000
0.0000 0.0000 6.7755
Sm In Br
10 6 2
Cartesian
-1.2521 2.1688 1.6939 Sm
-3.4673 6.0056 5.0817 Sm
2.5043 0.0000 1.6939 Sm
1.2521 2.1688 5.0817 Sm
0.0000 5.4496 0.0000 Sm
0.0000 5.4496 3.3878 Sm
4.7195 2.7248 0.0000 Sm
4.7195 2.7248 3.3878 Sm
6.9346 0.0000 5.0817 Sm
3.4673 6.0056 1.6939 Sm
-1.8512 3.2064 5.0817 In
-2.8682 4.9679 1.6939 In
3.7024 0.0000 5.0817 In
1.8512 3.2064 1.6939 In
5.7365 0.0000 1.6939 In
2.8682 4.9679 5.0817 In
0.0000 0.0000 0.0000 Br
0.0000 0.0000 3.3878 Br
```

Computed properties:
SG	P6_3/mcm, No. 193
calculated volume	522.78	Å³ per cell
total magnetization	0.04	μB per cell


Compound: TbSmIn2Br2
Source: OQMD
Functional: PBE-GGA
Structure: optimized geometry

```
TbSmIn2Br2
1.0
4.4601 0.0000 0.0000
-2.2301 3.8626 0.0000
0.0000 0.0000 11.0011
Tb Sm In Br
1 1 2 2
Cartesian
0.0000 0.0000 0.0000 Tb
0.0000 0.0000 6.5413 Sm
0.0000 2.5751 9.3180 In
2.2301 1.2875 8.2787 In
0.0000 2.5751 4.8780 Br
2.2301 1.2875 1.6101 Br
```

Computed properties:
SG	P3m1, No. 156
calculated volume	189.52	Å³ per cell
total magnetization	0.01	μB per cell


Compound: TbIn2Br6
Source: OQMD
Functional: PBE-GGA
Structure: optimized geometry

```
TbIn2Br6
1.0
7.5963 0.0000 0.0000
0.0000 7.5963 0.0000
0.0000 0.0000 10.4379
Tb In Br
2 4 12
Cartesian
0.0000 0.0000 0.0000 Tb
3.7982 3.7982 5.2189 Tb
0.0000 3.7982 2.6095 In
0.0000 3.7982 7.8284 In
3.7982 0.0000 2.6095 In
3.7982 0.0000 7.8284 In
0.0000 0.0000 2.7461 Br
0.0000 0.0000 7.6918 Br
1.2341 2.5432 0.0000 Br
1.2549 2.5640 5.2189 Br
2.5432 6.3622 0.0000 Br
2.5640 6.3414 5.2189 Br
3.7982 3.7982 2.4729 Br
3.7982 3.7982 7.9650 Br
5.0323 1.2549 5.2189 Br
5.0531 1.2341 0.0000 Br
6.3414 5.0323 5.2189 Br
6.3622 5.0531 0.0000 Br
```

Computed properties:
SG	P4/mnc, No. 128
calculated volume	602.31	Å³ per cell
total magnetization	0.00	μB per cell


Compound: TbYIn2Br2
Source: OQMD
Functional: PBE-GGA
Structure: optimized geometry

```
TbYIn2Br2
1.0
4.4248 0.0000 0.0000
-2.2124 3.8320 0.0000
0.0000 0.0000 10.8555
Tb Y In Br
1 1 2 2
Cartesian
0.0000 0.0000 0.0000 Tb
0.0000 0.0000 6.4080 Y
0.0000 2.5547 9.1689 In
2.2124 1.2773 8.0950 In
0.0000 2.5547 4.7864 Br
2.2124 1.2773 1.6292 Br
```

Computed properties:
SG	P3m1, No. 156
calculated volume	184.07	Å³ per cell
total magnetization	0.00	μB per cell


Compound: Tl2ZnInBr6
Source: OQMD
Functional: PBE-GGA
Structure: optimized geometry

```
Tl2ZnInBr6
1.0
0.0000 5.4644 5.4644
5.4644 0.0000 5.4644
5.4644 5.4644 0.0000
Tl Zn In Br
2 1 1 6
Cartesian
2.7322 2.7322 2.7322 Tl
8.1966 8.1966 8.1966 Tl
0.0000 0.0000 0.0000 Zn
5.4644 5.4644 5.4644 In
5.4644 5.4644 2.6451 Br
5.4644 2.6451 5.4644 Br
8.2837 5.4644 5.4644 Br
2.6451 5.4644 5.4644 Br
5.4644 8.2837 5.4644 Br
5.4644 5.4644 8.2837 Br
```

Computed properties:
SG	Fm-3m, No. 225
calculated volume	326.33	Å³ per cell


Compound: UIn2Br6
Source: OQMD
Functional: PBE-GGA
Structure: optimized geometry

```
UIn2Br6
1.0
7.7169 0.0000 0.0000
0.0000 8.3439 0.0000
-6.6660 0.0000 10.9651
U In Br
2 4 12
Cartesian
0.0000 0.0000 0.0000 U
-3.3330 4.1720 5.4826 U
-2.7699 0.8044 8.5132 In
0.5631 3.3675 3.0306 In
0.4879 4.9764 7.9345 In
3.8209 7.5395 2.4519 In
-0.8090 0.3862 2.6347 Br
-4.1420 3.7858 8.1173 Br
1.3530 6.0388 0.7489 Br
-1.9800 6.4771 6.2315 Br
2.3505 1.4754 0.4847 Br
-0.9825 2.6965 5.9673 Br
2.0335 5.6474 4.9978 Br
-1.2995 6.8685 10.4804 Br
3.0310 1.8668 4.7337 Br
-0.3020 2.3051 10.2163 Br
5.1930 4.5581 2.8479 Br
1.8600 7.9577 8.3304 Br
```

Computed properties:
SG	P2_1/c, No. 14
calculated volume	706.04	Å³ per cell
total magnetization	4.00	μB per cell


Compound: YZnIn2Br6
Source: OQMD
Functional: PBE-GGA
Structure: optimized geometry

```
YZnIn2Br6
1.0
0.0000 5.5987 5.5987
5.5987 0.0000 5.5987
5.5987 5.5987 0.0000
Y Zn In Br
1 1 2 6
Cartesian
0.0000 0.0000 0.0000 Y
5.5987 5.5987 5.5987 Zn
2.7994 2.7994 2.7994 In
8.3981 8.3981 8.3981 In
5.5987 5.5987 2.7933 Br
5.5987 2.7933 5.5987 Br
8.4042 5.5987 5.5987 Br
2.7933 5.5987 5.5987 Br
5.5987 8.4042 5.5987 Br
5.5987 5.5987 8.4042 Br
```

Computed properties:
SG	Fm-3m, No. 225
calculated volume	350.99	Å³ per cell
total magnetization	0.10	μB per cell


| no. | E (eV per atom) |
| --- | --- |
| 1 | -3.8944 |
| 2 | -4.3568 |
| 3 | -4.0284 |
| 4 | -3.3107 |
| 5 | -4.2945 |
| 6 | -2.6216 |
| 7 | -4.0296 |
| 8 | -3.2751 |